[1]
A geometry-optimized ScPa4Ge5 structure. Source: Alexandria, functional PBE.

Cell and atoms, written as POSCAR:
```
ScPa4Ge5
1.0
-2.062 2.906 10.173
2.062 -2.906 10.173
2.062 2.906 -10.173
Sc Pa Ge
1 4 5
Direct
0.000 0.000 0.000
0.197 0.197 0.000
0.401 0.401 0.000
0.599 0.599 0.000
0.803 0.803 0.000
0.096 0.596 0.500
0.299 0.799 0.500
0.500 0.000 0.500
0.701 0.201 0.500
0.904 0.404 0.500
```

Calculated values
Fermi-level density of states (states/eV/atom): 1.002
SG: Immm (71)
Crystal system: orthorhombic
Formation energy (meV/atom): -481

[2]
A geometry-optimized LuCu2Ru structure. Source: Alexandria, functional PBE.

Cell and atoms, written as POSCAR:
```
LuCu2Ru
1.0
3.929 0.000 0.000
0.000 3.929 0.000
0.000 0.000 3.977
Lu Cu Ru
1 2 1
Direct
0.000 0.000 0.000
0.000 0.500 0.500
0.500 0.000 0.500
0.500 0.500 0.000
```

Calculated values
Fermi-level density of states (states/eV/atom): 0.807
SG: P4/mmm (123)
Crystal system: tetragonal
Offset from the most stable computed form (meV/atom): 0.0
Formation energy (meV/atom): -160

[3]
A geometry-optimized NiSbIrI2 structure. Source: Alexandria, functional PBE.

Cell and atoms, written as POSCAR:
```
NiSbIrI2
1.0
5.106 0.000 0.000
0.000 5.106 0.000
0.000 0.000 4.889
Ni Sb Ir I
1 1 1 2
Direct
0.000 0.000 0.000
0.000 0.000 0.500
0.500 0.500 0.500
0.000 0.500 0.000
0.500 0.000 0.000
```

Calculated values
Fermi-level density of states (states/eV/atom): 0.894
SG: P4/mmm (123)
Crystal system: tetragonal
Offset from the most stable computed form (meV/atom): 178.0
Formation energy from raw total energies (eV per atom): 1.14

[4]
A geometry-optimized BaReB2 structure. Source: Alexandria, functional PBE.

Cell and atoms, written as POSCAR:
```
BaReB2
1.0
0.000 3.201 3.201
3.201 0.000 3.201
3.201 3.201 0.000
Ba Re B
1 1 2
Direct
0.000 0.000 0.000
0.500 0.500 0.500
0.250 0.250 0.250
0.750 0.750 0.750
```

Calculated values
Fermi-level density of states (states/eV/atom): 0.653
SG: Fm-3m (225)
Crystal system: cubic
Offset from the most stable computed form (meV/atom): 1527.4
Formation energy (meV/atom): 1826

[5]
A geometry-optimized LiTbPuOs structure. Source: Alexandria, functional PBE.

Cell and atoms, written as POSCAR:
```
LiTbPuOs
1.0
0.000 3.455 3.455
3.455 0.000 3.455
3.455 3.455 0.000
Li Tb Pu Os
1 1 1 1
Direct
0.000 0.000 0.000
0.250 0.250 0.250
0.750 0.750 0.750
0.500 0.500 0.500
```

Calculated values
Fermi-level density of states (states/eV/atom): 2.217
SG: F-43m (216)
Crystal system: cubic
Formation energy (meV/atom): -55

[6]
A geometry-optimized PaGeSb2N structure. Source: Alexandria, functional PBE.

Cell and atoms, written as POSCAR:
```
PaGeSb2N
1.0
3.902 0.000 0.000
0.000 3.902 0.000
0.000 0.000 15.726
Pa Ge Sb N
2 2 4 2
Direct
0.250 0.250 0.076
0.750 0.750 0.924
0.250 0.250 0.639
0.750 0.750 0.361
0.250 0.250 0.420
0.250 0.250 0.811
0.750 0.750 0.189
0.750 0.750 0.580
0.250 0.750 0.000
0.750 0.250 0.000
```

Calculated values
Fermi-level density of states (states/eV/atom): 0.552
SG: P4/nmm (129)
Crystal system: tetragonal
Formation energy from raw total energies (eV per atom): -0.63

[7]
A geometry-optimized Zn2NiIr structure. Source: Alexandria, functional PBE.

Cell and atoms, written as POSCAR:
```
Zn2NiIr
1.0
4.282 -1.428 0.000
4.282 1.428 0.000
-1.214 0.000 4.353
Zn Ni Ir
2 1 1
Direct
0.244 0.244 0.242
0.756 0.756 0.758
0.500 0.500 0.000
0.000 0.000 0.500
```

Calculated values
Fermi-level density of states (states/eV/atom): 0.577
SG: C2/m (12)
Crystal system: monoclinic
Formation energy (meV/atom): -146

[8]
A geometry-optimized Pa2AsSe3 structure. Source: Alexandria, functional PBE.

Cell and atoms, written as POSCAR:
```
Pa2AsSe3
1.0
8.669 -2.144 0.000
8.669 2.144 0.000
-7.725 0.000 10.666
Pa As Se
4 2 6
Direct
0.018 0.018 0.263
0.214 0.214 0.073
0.786 0.786 0.927
0.982 0.982 0.737
0.413 0.413 0.077
0.587 0.587 0.923
0.154 0.154 0.221
0.165 0.165 0.781
0.418 0.418 0.578
0.582 0.582 0.422
0.835 0.835 0.219
0.846 0.846 0.779
```

Calculated values
Fermi-level density of states (states/eV/atom): 0.429
SG: C2/m (12)
Crystal system: monoclinic
Offset from the most stable computed form (meV/atom): 191.4
Formation energy from raw total energies (eV per atom): -1.03

[9]
A geometry-optimized SrTb2AgS4 structure. Source: Alexandria, functional PBE.

Cell and atoms, written as POSCAR:
```
SrTb2AgS4
1.0
2.002 -6.692 0.000
2.002 6.692 0.000
0.000 0.000 13.883
Sr Tb Ag S
2 4 2 8
Direct
0.127 0.873 0.750
0.873 0.127 0.250
0.375 0.625 0.559
0.375 0.625 0.941
0.625 0.375 0.059
0.625 0.375 0.441
0.147 0.853 0.250
0.853 0.147 0.750
0.000 0.000 0.000
0.000 0.000 0.500
0.272 0.728 0.112
0.272 0.728 0.388
0.463 0.537 0.750
0.537 0.463 0.250
0.728 0.272 0.612
0.728 0.272 0.888
```

Calculated values
Fermi-level density of states (states/eV/atom): 0.197
SG: Cmcm (63)
Crystal system: orthorhombic
Formation energy from raw total energies (eV per atom): -1.67

[10]
A geometry-optimized Pu2ThH7 structure. Source: Alexandria, functional PBE.

Cell and atoms, written as POSCAR:
```
Pu2ThH7
1.0
-1.901 1.901 7.866
1.901 -1.901 7.866
1.901 1.901 -7.866
Pu Th H
2 1 7
Direct
0.169 0.169 0.000
0.831 0.831 0.000
0.500 0.500 0.000
0.000 0.000 0.000
0.088 0.588 0.500
0.250 0.750 0.500
0.412 0.912 0.500
0.588 0.088 0.500
0.750 0.250 0.500
0.912 0.412 0.500
```

Calculated values
Fermi-level density of states (states/eV/atom): 1.626
SG: I4/mmm (139)
Crystal system: tetragonal

[11]
A geometry-optimized WSeSCl2 structure. Source: Alexandria, functional PBE.

Cell and atoms, written as POSCAR:
```
WSeSCl2
1.0
4.864 0.000 0.000
0.000 4.864 0.000
0.000 0.000 5.112
W Se S Cl
1 1 1 2
Direct
0.000 0.000 0.000
0.500 0.500 0.500
0.500 0.500 0.000
0.000 0.500 0.500
0.500 0.000 0.500
```

Calculated values
Fermi-level density of states (states/eV/atom): 1.203
SG: P4/mmm (123)
Crystal system: tetragonal
Offset from the most stable computed form (meV/atom): 1021.5
Formation energy from raw total energies (eV per atom): 1.31

[12]
A geometry-optimized HfPaMo2 structure. Source: Alexandria, functional PBE.

Cell and atoms, written as POSCAR:
```
HfPaMo2
1.0
3.395 0.000 0.000
0.000 3.395 0.000
0.000 0.000 6.712
Hf Pa Mo
1 1 2
Direct
0.000 0.000 0.000
0.000 0.000 0.500
0.500 0.500 0.258
0.500 0.500 0.742
```

Calculated values
Fermi-level density of states (states/eV/atom): 1.080
SG: P4/mmm (123)
Crystal system: tetragonal
Offset from the most stable computed form (meV/atom): 43.2
Formation energy (meV/atom): -18

[13]
A geometry-optimized Ca3SbP structure. Source: Alexandria, functional PBE.

Cell and atoms, written as POSCAR:
```
Ca3SbP
1.0
-3.092 3.092 9.530
3.092 -3.092 9.530
3.092 3.092 -9.530
Ca Sb P
6 2 2
Direct
0.220 0.220 0.000
0.369 0.615 0.754
0.385 0.138 0.754
0.385 0.631 0.246
0.780 0.780 0.000
0.862 0.615 0.246
0.670 0.170 0.500
0.830 0.330 0.500
0.250 0.750 0.500
0.500 0.500 0.000
```

Calculated values
Fermi-level density of states (states/eV/atom): 0.392
SG: I-4m2 (119)
Crystal system: tetragonal
Offset from the most stable computed form (meV/atom): 617.4
Formation energy from raw total energies (eV per atom): -0.48

[14]
A geometry-optimized LaRuPt2 structure. Source: Alexandria, functional PBE.

Cell and atoms, written as POSCAR:
```
LaRuPt2
1.0
-2.122 2.122 4.145
2.122 -2.122 4.145
2.122 2.122 -4.145
La Ru Pt
1 1 2
Direct
0.000 0.000 0.000
0.250 0.750 0.500
0.500 0.500 0.000
0.750 0.250 0.500
```

Calculated values
Fermi-level density of states (states/eV/atom): 1.562
SG: I-4m2 (119)
Crystal system: tetragonal
Formation energy (meV/atom): -277

[15]
A geometry-optimized NbGeNF2 structure. Source: Alexandria, functional PBE.

Cell and atoms, written as POSCAR:
```
NbGeNF2
1.0
4.222 0.000 0.000
0.000 4.222 0.000
0.000 0.000 4.073
Nb Ge N F
1 1 1 2
Direct
0.000 0.000 0.000
0.500 0.500 0.500
0.000 0.000 0.500
0.000 0.500 0.000
0.500 0.000 0.000
```

Calculated values
Fermi-level density of states (states/eV/atom): 0.693
SG: P4/mmm (123)
Crystal system: tetragonal
Offset from the most stable computed form (meV/atom): 0.0
Formation energy from raw total energies (eV per atom): -0.94

[16]
A geometry-optimized YSiRu2 structure. Source: Alexandria, functional PBE.

Cell and atoms, written as POSCAR:
```
YSiRu2
1.0
2.945 -4.278 0.000
2.945 4.278 0.000
-1.390 0.000 2.629
Y Si Ru
1 1 2
Direct
0.000 0.000 0.000
0.500 0.500 0.000
0.000 0.500 0.500
0.500 0.000 0.500
```

Calculated values
Fermi-level density of states (states/eV/atom): 0.651
SG: C2/m (12)
Crystal system: monoclinic
Formation energy from raw total energies (eV per atom): -0.06

[17]
A geometry-optimized KNi structure. Source: Alexandria, functional PBE.

Cell and atoms, written as POSCAR:
```
KNi
1.0
1.528 0.882 5.224
-1.528 0.882 5.224
0.000 -1.765 5.224
K Ni
1 1
Direct
0.000 0.000 0.000
0.500 0.500 0.500
```

Calculated values
Fermi-level density of states (states/eV/atom): 0.608
SG: R-3m (166)
Crystal system: trigonal
Offset from the most stable computed form (meV/atom): 518.0
Formation energy (meV/atom): 1031

[18]
A geometry-optimized CuHgPdO4 structure. Source: Alexandria, functional PBE.

Cell and atoms, written as POSCAR:
```
CuHgPdO4
1.0
-2.919 3.142 4.936
2.919 -3.142 4.936
2.919 3.142 -4.936
Cu Hg Pd O
2 2 2 8
Direct
0.500 0.000 0.000
0.500 0.500 0.500
0.087 0.337 0.750
0.913 0.663 0.250
0.000 0.000 0.000
0.500 0.000 0.500
0.249 0.223 0.474
0.249 0.774 0.026
0.255 0.207 0.049
0.342 0.793 0.549
0.658 0.207 0.451
0.745 0.793 0.951
0.751 0.226 0.974
0.751 0.777 0.526
```

Calculated values
Fermi-level density of states (states/eV/atom): 0.311
SG: Imma (74)
Crystal system: orthorhombic
Formation energy from raw total energies (eV per atom): -0.39

[19]
A geometry-optimized BaBe3Tc structure. Source: Alexandria, functional PBE.

Cell and atoms, written as POSCAR:
```
BaBe3Tc
1.0
4.683 0.000 0.000
0.000 4.683 0.000
0.000 0.000 4.683
Ba Be Tc
1 3 1
Direct
0.000 0.000 0.000
0.000 0.000 0.500
0.000 0.500 0.000
0.500 0.000 0.000
0.500 0.500 0.500
```

Calculated values
Fermi-level density of states (states/eV/atom): 3.044
SG: Pm-3m (221)
Crystal system: cubic
Offset from the most stable computed form (meV/atom): 2435.4
Formation energy (meV/atom): 2890

[20]
A geometry-optimized Ta2AlFe structure. Source: Alexandria, functional PBE.

Cell and atoms, written as POSCAR:
```
Ta2AlFe
1.0
0.000 3.162 3.162
3.162 0.000 3.162
3.162 3.162 0.000
Ta Al Fe
2 1 1
Direct
0.000 0.000 0.000
0.250 0.250 0.250
0.500 0.500 0.500
0.750 0.750 0.750
```

Calculated values
Fermi-level density of states (states/eV/atom): 0.717
SG: F-43m (216)
Crystal system: cubic
Formation energy (meV/atom): 79

Number 1: total magnetization 0.00 μB/atom, E_tot -0.5307 Ry/atom. Number 2: total magnetization 0.05 μB/atom, E_tot -0.4158 Ry/atom. Number 3: total magnetization 0.29 μB/atom, E_tot -0.2379 Ry/atom. Number 4: total magnetization 0.57 μB/atom, E_tot -0.3753 Ry/atom. Number 5: total magnetization 1.38 μB/atom, E_tot -0.5940 Ry/atom. Number 6: total magnetization 0.00 μB/atom, E_tot -0.4977 Ry/atom. Number 7: total magnetization 0.00 μB/atom, E_tot -0.3266 Ry/atom. Number 8: total magnetization 0.16 μB/atom, E_tot -0.4935 Ry/atom. Number 9: total magnetization 0.00 μB/atom, E_tot -0.4015 Ry/atom. Number 10: total magnetization 1.08 μB/atom, E_tot -0.4676 Ry/atom. Number 11: total magnetization 0.97 μB/atom, E_tot -0.2601 Ry/atom. Number 12: total magnetization 0.00 μB/atom, E_tot -0.7567 Ry/atom. Number 13: total magnetization 0.17 μB/atom, E_tot -0.2634 Ry/atom. Number 14: total magnetization 0.16 μB/atom, E_tot -0.5033 Ry/atom. Number 15: total magnetization 0.00 μB/atom, E_tot -0.4626 Ry/atom. Number 16: total magnetization 0.00 μB/atom, E_tot -0.5637 Ry/atom. Number 17: total magnetization 0.11 μB/atom, E_tot -0.1770 Ry/atom. Number 18: total magnetization 0.09 μB/atom, E_tot -0.3374 Ry/atom. Number 19: total magnetization 0.02 μB/atom, E_tot -0.1326 Ry/atom. Number 20: total magnetization 0.69 μB/atom, E_tot -0.6540 Ry/atom.